# ZnSe2BrF (GGA-PBE, optimized geometry)
data_ZnSe2BrF
_chemical_formula_sum 'Zn1 Se2 Br1 F1'
_cell_length_a 4.289
_cell_length_b 4.289
_cell_length_c 6.716
_cell_angle_alpha 90.00
_cell_angle_beta 90.00
_cell_angle_gamma 90.00
_symmetry_space_group_name_H-M 'P 1'
_symmetry_Int_Tables_number 1
_symmetry_space_group_name_Hall 'P 1'
loop_
_atom_site_label
_atom_site_fract_x
_atom_site_fract_y
_atom_site_fract_z
_atom_site_occupancy
Se1 0.000 0.500 0.000 1
Se2 0.500 0.000 0.000 1
Zn1 0.500 0.500 0.500 1
F1 0.000 0.000 0.000 1
Br1 0.000 0.000 0.500 1
# **Volume**: 124 Å³/f.u.
# **Relative energy among the computed polymorphs**: 0.000 eV per atom
# **Raw formation energy**: 0.2061 eV/atom
# **E_tot**: -2.151 eV per atom